Record 1
This record from the Alexandria database describes a relaxed ZrRe2Mo crystal. The functional is PBE.

For the formation energy from the elements, the calculation gives -42 meV per atom. The value obtained for the total magnetic moment is 0.00 μB per formula unit. The distance to the lowest polymorph of the same formula is 0.073 eV/atom.

The space group is Pmmm (No. 47) and the conventional cell measures 3.202, 4.536 and 4.551 Å, with angles of 90.00, 90.00 and 90.00 degrees. Symmetry generates all atoms from Zr at (0.000, 0.000, 0.000), Re at (0.000, 0.500, 0.500), Re at (0.500, 0.000, 0.500) and Mo at (0.500, 0.500, 0.000).

Record 2
This record from the Alexandria database describes a relaxed ZrReMo2 crystal. The functional is PBE.

For the formation energy from the elements, the calculation gives -85 meV per atom. The value obtained for the total magnetic moment is 0.00 μB per formula unit. The distance to the lowest polymorph of the same formula is 0.010 eV/atom.

The space group is Fm-3m (No. 225) and the conventional cell measures 6.434, 6.434 and 6.434 Å, with angles of 90.00, 90.00 and 90.00 degrees. Symmetry generates all atoms from Zr at (0.000, 0.000, 0.000), Re at (0.000, 0.000, 0.500) and Mo at (0.250, 0.250, 0.250).